18
Lattice="4.9105 0.0000 0.0000 0.0000 4.9105 0.0000 0.0000 0.0000 9.1801" Properties=species:S:1:pos:R:3 comment="ZrMnWO6, optimized geometry, DFT PBE with a Hubbard U" dft_energy_ev_per_atom=-8.069 crystal_system=tetragonal rho_g_cm3=6.4 pbc="T T T"
Zr 0.0000 0.0000 0.0000
Zr 2.4552 2.4552 4.5901
Mn 0.0000 0.0000 2.9711
Mn 2.4552 2.4552 7.5612
W 0.0000 0.0000 6.0382
W 2.4552 2.4552 1.4481
O 0.9148 0.9148 7.4651
O 0.9393 0.9393 4.5946
O 1.0527 1.0527 1.4581
O 1.4026 3.5079 6.0481
O 1.5159 3.3946 0.0045
O 1.5405 3.3700 2.8750
O 3.3700 1.5405 2.8750
O 3.3946 1.5159 0.0045
O 3.5079 1.4026 6.0481
O 3.8578 3.8578 1.4581
O 3.9711 3.9711 4.5946
O 3.9957 3.9957 7.4651